Ba2TlNiO5: optimized geometry, GGA+U.

a = 3.564 Å, b = 7.927 Å, c = 11.041 Å
α = 90.00°, β = 90.00°, γ = 102.99°
Site moments in Bohr magnetons follow the coordinates.
Atoms (fractional coordinates):
Ba: 0.867 0.735 0.822  0.01
Ba: 0.114 0.227 0.682  0.00
Ba: 0.133 0.265 0.322  0.01
Ba: 0.886 0.773 0.182  0.00
Tl: 0.794 0.587 0.525  0.00
Tl: 0.206 0.413 0.025  0.00
Ni: 0.551 0.102 0.939  2.00
Ni: 0.449 0.898 0.439  2.00
O: 0.349 0.698 0.005  0.04
O: 0.672 0.343 0.887  0.17
O: 0.499 0.998 0.793  0.34
O: 0.294 0.588 0.660  0.03
O: 0.957 0.915 0.511  0.29
O: 0.651 0.302 0.505  0.04
O: 0.328 0.657 0.387  0.17
O: 0.501 0.002 0.293  0.34
O: 0.706 0.412 0.160  0.03
O: 0.043 0.085 0.011  0.29

Values from the calculation:
Theoretical density (g/cm3): 6.75
Electronic total energy (eV/atom): -5.2537
Total magnetization (μB per atom): 0.341